# GGA-PBE PICl6, optimized geometry
data_PICl6
_chemical_formula_sum 'P1 I1 Cl6'
_symmetry_space_group_name_H-M 'P -1'
_symmetry_Int_Tables_number 2
_cell_length_a 6.616
_cell_length_b 7.249
_cell_length_c 7.493
_cell_angle_alpha 111.84
_cell_angle_beta 114.30
_cell_angle_gamma 96.37
loop_
_symmetry_equiv_pos_as_xyz
'x,y,z'
'-x,-y,-z'
loop_
_atom_site_label
_atom_site_fract_x
_atom_site_fract_y
_atom_site_fract_z
_atom_site_occupancy
P1 0.000 0.000 0.000 1
I1 0.000 0.500 0.500 1
Cl1 0.080 0.092 0.793 1
Cl2 0.139 0.714 0.913 1
Cl3 0.341 0.181 0.266 1
# formation energy from raw total energies	-367	meV/atom
# magnetization	0.000	μB per formula unit
# uncorrected energy	-2.622	eV/atom
# calculated volume	288.81	Å³/cell